# 1
# Ho2ZnGa4Ni3 (PBE, optimized geometry)
# DFT formation energy: -0.54 eV per atom
# DOS(E_F): 0.56 states/eV per atom
data_Ho2ZnGa4Ni3
_space_group_name_H-M_alt 'P 1'
_space_group_IT_number 1
_cell_length_a 4.019
_cell_length_b 4.019
_cell_length_c 10.369
_cell_angle_alpha 90.00
_cell_angle_beta 90.00
_cell_angle_gamma 90.00
loop_
_space_group_symop_operation_xyz
'x,y,z'
loop_
_atom_site_label
_atom_site_fract_x
_atom_site_fract_y
_atom_site_fract_z
Ho1 0.000 0.500 0.239
Ho2 0.500 0.000 0.761
Zn1 0.000 0.000 0.500
Ga1 0.000 0.000 0.000
Ga2 0.000 0.500 0.641
Ga3 0.500 0.000 0.359
Ga4 0.500 0.500 0.000
Ni1 0.000 0.500 0.868
Ni2 0.500 0.000 0.132
Ni3 0.500 0.500 0.500


# 2
# La3PrEr2Te6 (PBE, optimized geometry)
# E_form (uncorrected): -1.448 eV/atom
# DOS(E_F): 0.59 states/eV per atom
data_La3PrEr2Te6
_space_group_name_H-M_alt 'P 1'
_space_group_IT_number 1
_cell_length_a 7.752
_cell_length_b 7.752
_cell_length_c 7.807
_cell_angle_alpha 99.50
_cell_angle_beta 99.50
_cell_angle_gamma 120.17
loop_
_space_group_symop_operation_xyz
'x,y,z'
loop_
_atom_site_label
_atom_site_fract_x
_atom_site_fract_y
_atom_site_fract_z
La1 0.000 0.000 0.000
La2 0.341 0.659 0.000
La3 0.659 0.341 0.000
Pr1 0.500 0.500 0.500
Er1 0.167 0.833 0.500
Er2 0.833 0.167 0.500
Te1 0.075 0.421 0.262
Te2 0.231 0.231 0.730
Te3 0.421 0.075 0.262
Te4 0.579 0.925 0.738
Te5 0.769 0.769 0.270
Te6 0.925 0.579 0.738